Material: TlCdSe2
Method: DFT, PBE
State: optimized geometry

Values from the calculation:
The value obtained for the calculated total energy is -2.794 eV/atom. For the uncorrected formation energy, the calculation gives -0.2310 eV per atom.

Unit cell a=3.849 b=3.853 c=14.139 alpha=90.00 beta=90.00 gamma=90.00
Space group Imm2 (No. 44)
Unique sites:
Tl1 0.000 0.000 0.000 (multiplicity 2)
Cd1 0.000 0.500 0.750 (multiplicity 2)
Se1 0.000 0.000 0.601 (multiplicity 2)
Se2 0.000 0.500 0.328 (multiplicity 2)

***

Material: Tl2CdSe
Method: DFT, PBE
State: optimized geometry

Values from the calculation:
The value obtained for the calculated total energy is -2.382 eV/atom. For the uncorrected formation energy, the calculation gives -0.0994 eV per atom.

Unit cell a=4.705 b=4.705 c=10.157 alpha=90.00 beta=90.00 gamma=90.00
Space group I-4m2 (No. 119)
Unique sites:
Tl1 0.000 0.000 0.000 (multiplicity 2)
Tl2 0.000 0.500 0.250 (multiplicity 2)
Cd1 0.000 0.500 0.750 (multiplicity 2)
Se1 0.000 0.000 0.500 (multiplicity 2)

***

Material: Tl6CdSe4
Method: DFT, PBE
State: optimized geometry

Values from the calculation:
The value obtained for the calculated total energy is -3.032 eV/atom. For the uncorrected formation energy, the calculation gives -0.3907 eV per atom.

Unit cell a=10.6838 b=10.6838 c=7.3511 alpha=90.00 beta=90.00 gamma=120.00
Space group P6_3mc (No. 186)
Unique sites:
Tl1 0.0605 0.5302 0.0000 (multiplicity 6)
Tl2 0.1553 0.3105 0.6781 (multiplicity 6)
Cd1 0.3333 0.6667 0.3685 (multiplicity 2)
Se1 0.1925 0.3850 0.2599 (multiplicity 6)
Se2 0.3333 0.6667 0.7415 (multiplicity 2)

***

Material: TlCd4Se5
Method: DFT, PBE
State: optimized geometry

Values from the calculation:
The value obtained for the calculated total energy is -2.860 eV/atom. For the uncorrected formation energy, the calculation gives -0.5150 eV per atom.

Unit cell a=4.4305 b=4.4305 c=55.1435 alpha=90.00 beta=90.00 gamma=120.00
Space group R3m (No. 160, hexagonal axes)
Unique sites:
Tl1 0.0000 0.0000 0.0000 (multiplicity 3)
Cd1 0.0000 0.0000 0.1997 (multiplicity 3)
Cd2 0.0000 0.0000 0.4045 (multiplicity 3)
Cd3 0.0000 0.0000 0.5974 (multiplicity 3)
Cd4 0.0000 0.0000 0.8021 (multiplicity 3)
Se1 0.0000 0.0000 0.1510 (multiplicity 3)
Se2 0.0000 0.0000 0.3556 (multiplicity 3)
Se3 0.0000 0.0000 0.5487 (multiplicity 3)
Se4 0.0000 0.0000 0.7533 (multiplicity 3)
Se5 0.0000 0.0000 0.9469 (multiplicity 3)

***

Material: TlCd2Se
Method: DFT, PBE
State: optimized geometry

Values from the calculation:
The value obtained for the calculated total energy is -1.885 eV/atom. For the uncorrected formation energy, the calculation gives 0.0351 eV per atom.

Unit cell a=7.482 b=7.482 c=7.482 alpha=90.00 beta=90.00 gamma=90.00
Space group Fm-3m (No. 225)
Unique sites:
Tl1 0.000 0.000 0.000 (multiplicity 4)
Cd1 0.250 0.250 0.250 (multiplicity 8)
Se1 0.000 0.000 0.500 (multiplicity 4)

***

Material: Tl2CdSe
Method: DFT, PBE
State: optimized geometry

Values from the calculation:
The value obtained for the calculated total energy is -2.415 eV/atom. For the uncorrected formation energy, the calculation gives -0.1318 eV per atom.

Unit cell a=3.823 b=3.848 c=8.039 alpha=90.00 beta=90.21 gamma=90.00
Space group P2/m (No. 10)
Unique sites:
Tl1 0.003 0.000 0.214 (multiplicity 2)
Cd1 0.500 0.500 0.500 (multiplicity 1)
Se1 0.500 0.500 0.000 (multiplicity 1)

***

Material: TlCdSe4
Method: DFT, PBE
State: optimized geometry

Values from the calculation:
The value obtained for the calculated total energy is -2.657 eV/atom. For the uncorrected formation energy, the calculation gives 0.2131 eV per atom.

Unit cell a=8.393 b=8.393 c=8.393 alpha=90.00 beta=90.00 gamma=90.00
Space group F-43m (No. 216)
Unique sites:
Tl1 0.000 0.000 0.000 (multiplicity 4)
Cd1 0.250 0.250 0.750 (multiplicity 4)
Se1 0.123 0.123 0.377 (multiplicity 16)

***

Material: TlCd2Se
Method: DFT, PBE
State: optimized geometry

Values from the calculation:
The value obtained for the calculated total energy is -1.927 eV/atom. For the uncorrected formation energy, the calculation gives -0.0071 eV per atom.

Unit cell a=7.509 b=7.509 c=7.509 alpha=90.00 beta=90.00 gamma=90.00
Space group F-43m (No. 216)
Unique sites:
Tl1 0.000 0.000 0.000 (multiplicity 4)
Cd1 0.000 0.000 0.500 (multiplicity 4)
Cd2 0.250 0.250 0.250 (multiplicity 4)
Se1 0.250 0.250 0.750 (multiplicity 4)